(1)
# SrTl9Cd3 (GGA-PBE, relaxed)
# Density   9.63 g cm⁻³
# Total magnetic moment   0.000 μB/f.u.
# Crystal system   monoclinic
# Energy relative to the elements   -0.54 eV/f.u.
data_SrTl9Cd3
_space_group_name_H-M_alt 'P 1'
_space_group_IT_number 1
_cell_length_a 6.081
_cell_length_b 8.575
_cell_length_c 8.561
_cell_angle_alpha 82.82
_cell_angle_beta 69.20
_cell_angle_gamma 69.41
loop_
_space_group_symop_operation_xyz
'x,y,z'
loop_
_atom_site_label
_atom_site_fract_x
_atom_site_fract_y
_atom_site_fract_z
Tl1 0.006 0.351 0.641
Tl2 0.301 0.205 0.211
Tl3 0.000 0.500 0.000
Tl4 0.647 0.351 0.359
Tl5 0.353 0.649 0.641
Tl6 0.511 0.205 0.789
Tl7 0.489 0.795 0.211
Tl8 0.994 0.649 0.359
Tl9 0.699 0.795 0.789
Cd1 0.000 0.000 0.500
Cd2 0.500 0.500 0.000
Cd3 0.500 0.000 0.500
Sr1 0.000 0.000 0.000



(2)
# Ta2CuW (GGA-PBE, relaxed)
# Density   14.55 g cm⁻³
# Total magnetic moment   0.000 μB/f.u.
# Crystal system   tetragonal
# Energy relative to the elements   2.86 eV/f.u.
data_Ta2CuW
_space_group_name_H-M_alt 'P 1'
_space_group_IT_number 1
_cell_length_a 7.180
_cell_length_b 7.180
_cell_length_c 5.749
_cell_angle_alpha 51.36
_cell_angle_beta 51.36
_cell_angle_gamma 90.00
loop_
_space_group_symop_operation_xyz
'x,y,z'
loop_
_atom_site_label
_atom_site_fract_x
_atom_site_fract_y
_atom_site_fract_z
W1 0.000 0.000 0.000
W2 0.750 0.250 0.500
Ta1 0.138 0.625 0.250
Ta2 0.875 0.862 0.750
Ta3 0.612 0.125 0.250
Ta4 0.375 0.388 0.750
Cu1 0.250 0.750 0.500
Cu2 0.500 0.500 0.000



(3)
# In3SbPb12 (GGA-PBE, relaxed)
# Density   9.88 g cm⁻³
# Calculated total energy   -3.495 eV per atom
# Total magnetic moment   0.000 μB/f.u.
# Crystal system   tetragonal
data_In3SbPb12
_space_group_name_H-M_alt 'P 1'
_space_group_IT_number 1
_cell_length_a 5.994
_cell_length_b 5.994
_cell_length_c 13.811
_cell_angle_alpha 90.00
_cell_angle_beta 90.00
_cell_angle_gamma 90.00
loop_
_space_group_symop_operation_xyz
'x,y,z'
loop_
_atom_site_label
_atom_site_fract_x
_atom_site_fract_y
_atom_site_fract_z
In1 0.000 0.000 0.746
In2 0.000 0.000 0.254
In3 0.000 0.000 0.500
Pb1 0.500 0.500 0.000
Pb2 0.000 0.500 0.623
Pb3 0.000 0.500 0.122
Pb4 0.500 0.500 0.250
Pb5 0.500 0.000 0.878
Pb6 0.000 0.500 0.878
Pb7 0.500 0.000 0.377
Pb8 0.500 0.500 0.500
Pb9 0.500 0.500 0.750
Pb10 0.000 0.500 0.377
Pb11 0.500 0.000 0.122
Pb12 0.500 0.000 0.623
Sb1 0.000 0.000 0.000



(4)
# Pr3Y2Ho3 (GGA-PBE, relaxed)
# Density   6.81 g cm⁻³
# Total magnetic moment   0.000 μB/f.u.
# Crystal system   orthorhombic
# Energy relative to the elements   0.97 eV/f.u.
data_Pr3Y2Ho3
_space_group_name_H-M_alt 'P 1'
_space_group_IT_number 1
_cell_length_a 5.986
_cell_length_b 5.987
_cell_length_c 8.576
_cell_angle_alpha 110.46
_cell_angle_beta 110.42
_cell_angle_gamma 90.00
loop_
_space_group_symop_operation_xyz
'x,y,z'
loop_
_atom_site_label
_atom_site_fract_x
_atom_site_fract_y
_atom_site_fract_z
Y1 0.752 0.752 0.503
Y2 0.248 0.248 0.497
Pr1 0.628 0.128 0.255
Pr2 0.500 0.500 0.000
Pr3 0.372 0.872 0.745
Ho1 0.875 0.375 0.751
Ho2 0.125 0.625 0.249
Ho3 0.000 0.000 0.000



(5)
# Mg2IrPt (GGA-PBE, relaxed)
# Density   11.09 g cm⁻³
# Total magnetic moment   0.000 μB/f.u.
# Crystal system   tetragonal
# Energy relative to the elements   -1.00 eV/f.u.
data_Mg2IrPt
_space_group_name_H-M_alt 'P 1'
_space_group_IT_number 1
_cell_length_a 3.334
_cell_length_b 3.334
_cell_length_c 5.871
_cell_angle_alpha 90.00
_cell_angle_beta 90.00
_cell_angle_gamma 90.00
loop_
_space_group_symop_operation_xyz
'x,y,z'
loop_
_atom_site_label
_atom_site_fract_x
_atom_site_fract_y
_atom_site_fract_z
Mg1 0.500 0.500 0.272
Mg2 0.000 0.000 0.977
Pt1 0.000 0.000 0.484
Ir1 0.500 0.500 0.767



(6)
# Na4HgPb4 (GGA-PBE, relaxed)
# Density   7.12 g cm⁻³
# Total magnetic moment   0.000 μB/f.u.
# Crystal system   tetragonal
# Energy relative to the elements   -1.34 eV/f.u.
data_Na4HgPb4
_space_group_name_H-M_alt 'P 1'
_space_group_IT_number 1
_cell_length_a 4.665
_cell_length_b 7.842
_cell_length_c 7.842
_cell_angle_alpha 84.93
_cell_angle_beta 72.70
_cell_angle_gamma 72.70
loop_
_space_group_symop_operation_xyz
'x,y,z'
loop_
_atom_site_label
_atom_site_fract_x
_atom_site_fract_y
_atom_site_fract_z
Na1 0.163 0.173 0.000
Na2 0.163 0.500 0.673
Na3 0.837 0.827 0.000
Na4 0.837 0.500 0.327
Hg1 0.500 0.500 0.000
Pb1 0.500 0.163 0.337
Pb2 0.163 0.837 0.337
Pb3 0.837 0.163 0.663
Pb4 0.500 0.837 0.663



(7)
# Ti3ReAs (GGA-PBE, relaxed)
# Density   7.06 g cm⁻³
# Total magnetic moment   0.150 μB/f.u.
# Crystal system   cubic
# Energy relative to the elements   2.90 eV/f.u.
data_Ti3ReAs
_space_group_name_H-M_alt 'P 1'
_space_group_IT_number 1
_cell_length_a 4.566
_cell_length_b 4.566
_cell_length_c 4.566
_cell_angle_alpha 90.00
_cell_angle_beta 90.00
_cell_angle_gamma 90.00
loop_
_space_group_symop_operation_xyz
'x,y,z'
loop_
_atom_site_label
_atom_site_fract_x
_atom_site_fract_y
_atom_site_fract_z
Re1 0.500 0.500 0.500
Ti1 0.000 0.000 0.500
Ti2 0.000 0.500 0.000
Ti3 0.500 0.000 0.000
As1 0.000 0.000 0.000



(8)
# CeTmMg2Hg2 (GGA-PBE, relaxed)
# Density   8.67 g cm⁻³
# Total magnetic moment   1.002 μB/f.u.
# Crystal system   trigonal
# Energy relative to the elements   -1.71 eV/f.u.
data_CeTmMg2Hg2
_space_group_name_H-M_alt 'P 1'
_space_group_IT_number 1
_cell_length_a 5.026
_cell_length_b 5.026
_cell_length_c 6.646
_cell_angle_alpha 90.00
_cell_angle_beta 90.00
_cell_angle_gamma 120.00
loop_
_space_group_symop_operation_xyz
'x,y,z'
loop_
_atom_site_label
_atom_site_fract_x
_atom_site_fract_y
_atom_site_fract_z
Ce1 0.000 0.000 0.000
Mg1 0.667 0.333 0.257
Mg2 0.333 0.667 0.743
Hg1 0.667 0.333 0.749
Hg2 0.333 0.667 0.251
Tm1 0.000 0.000 0.500